[1]
DFT (PBE) results for a relaxed structure of NdY3Ag.

Summary:
For the uncorrected energy, the calculation gives -5.359 eV per atom. The formation energy comes out at 4.2 kJ per mole of atoms. The total magnetization is 0.0000 μB/atom.

Cell lengths 7.236, 7.236, 7.943 Å; angles 99.66, 117.33, 108.17 degrees
Fractional positions:
Nd: 0.691 0.084 0.775
Ag: 0.675 0.760 0.435
Y: 0.178 0.019 0.793
Y: 0.227 0.385 0.207
Y: 0.741 0.449 0.189
Y: 0.822 0.981 0.207
Y: 0.259 0.551 0.811
Ag: 0.325 0.240 0.565
Y: 0.773 0.615 0.793
Nd: 0.309 0.916 0.225

---

[2]
DFT (PBE) results for a relaxed structure of CdInSe2N.

Summary:
For the uncorrected energy, the calculation gives -2.974 eV per atom. The raw formation energy is 0.82 eV per atom. The total magnetization is 0.4171 μB/atom.

Cell lengths 5.433, 5.433, 4.181 Å; angles 90.00, 90.00, 90.00 degrees
Site moments in Bohr magnetons follow the coordinates.
Fractional positions:
Se: 0.000 0.500 0.000  0.12
Cd: 0.000 0.000 0.000  0.04
N: 0.000 0.000 0.500  1.17
Se: 0.500 0.000 0.000  0.12
In: 0.500 0.500 0.500  -0.01

---

- What is the total magnetization in the second record?
  0.4171 μB/atom

---

- Which value of total magnetization does entry 2 give?
  0.4171 μB/atom

---

- uncorrected energy of number 1 (NdY3Ag)?
  -5.359 eV per atom